# 1
This record from the Alexandria database describes a relaxed PaCo2Rh crystal. The functional is GGA-PBE.

a b c (Å): 4.5282 4.5282 4.5282
angles (deg): 56.39 56.39 56.39
With the nearest neighbours (Å) after each atom.
Fractional coordinates of all 4 atoms:
Pa: 0.0000 0.0000 0.0000  6 Co 2.56
Co: 0.2747 0.2747 0.2747  3 Pa 2.56, 4 Rh 2.56-2.76, 3 Co 2.81
Co: 0.7253 0.7253 0.7253  3 Pa 2.56, 4 Rh 2.56-2.76, 3 Co 2.81
Rh: 0.5000 0.5000 0.5000  8 Co 2.56-2.76

Summary:
* symmetry: R-3m, No. 166
* DFT formation energy: -0.28 eV per atom
* polymorph energy (0 for the lowest one): 0.220 eV per atom
* magnetization: 0.00 μB per atom

# 2
This record from the Alexandria database describes a relaxed ScGeSeS crystal. The functional is GGA-PBE.

a b c (Å): 3.6240 3.7902 6.4295
angles (deg): 90.00 105.13 90.00
With the nearest neighbours (Å) after each atom.
Fractional coordinates of all 4 atoms:
Sc: 0.0000 0.0000 0.0000  2 S 2.69-2.71, 4 Se 2.79-2.81
Ge: 0.7533 0.5000 0.6175  2 S 2.49
Se: 0.5781 0.5000 0.1595  4 Sc 2.79-2.81, 1 Ge 2.85
S: 0.3470 0.0000 0.6783  2 Ge 2.49, 2 Sc 2.69-2.71

Summary:
* symmetry: Pm, No. 6
* raw formation energy: -0.892 eV per atom
* polymorph energy (0 for the lowest one): 0.065 eV per atom
* magnetization: 0.00 μB per atom